A plane-wave DFT calculation with GGA+U was carried out for a geometry-optimized CdNiI2O8 structure.

## Properties
**Uncorrected energy**: -4.086 eV per atom
**Total magnetic moment**: 1.87 μB per formula unit
**V**: 174.9 Å³/f.u.
**D(E_F)**: 5.96 states/eV per cell

Cell and atoms, written as CIF:
```
data_CdNiI2O8
_symmetry_space_group_name_H-M 'I -4 m 2'
_symmetry_Int_Tables_number 119
_symmetry_space_group_name_Hall 'I -4 -2'
_cell_length_a 7.171
_cell_length_b 7.171
_cell_length_c 6.802
_cell_angle_alpha 90.00
_cell_angle_beta 90.00
_cell_angle_gamma 90.00
loop_
_atom_site_label
_atom_site_type_symbol
_atom_site_fract_x
_atom_site_fract_y
_atom_site_fract_z
Cd1 Cd 0.000 0.000 0.000
Ni1 Ni 0.000 0.500 0.750
I1 I 0.000 0.000 0.500
I2 I 0.000 0.500 0.250
O1 O 0.000 0.199 0.691
O2 O 0.000 0.314 0.061
```